# 1
PBE-GGA CrIr2Ru, relaxed; excess energy over the best structure of this formula in the dataset = 68 meV/atom
1.0
-1.905 1.905 3.801
1.905 -1.905 3.801
1.905 1.905 -3.801
Cr Ir Ru
1 2 1
Direct
0.000 0.000 0.000
0.250 0.750 0.500
0.500 0.500 0.000
0.750 0.250 0.500

---

# 2
PBE-GGA CrIr6Ru2, relaxed; excess energy over the best structure of this formula in the dataset = 0 meV/atom
1.0
7.719 -3.540 0.000
7.719 3.540 0.000
-0.832 0.000 4.816
Cr Ir Ru
2 12 4
Direct
0.219 0.781 0.750
0.781 0.219 0.250
0.014 0.812 0.140
0.051 0.613 0.645
0.188 0.986 0.360
0.368 0.478 0.350
0.387 0.949 0.855
0.478 0.368 0.850
0.522 0.632 0.150
0.613 0.051 0.145
0.632 0.522 0.650
0.812 0.014 0.640
0.949 0.387 0.355
0.986 0.188 0.860
0.198 0.340 0.005
0.340 0.198 0.505
0.660 0.802 0.495
0.802 0.660 0.995

---

# 3
PBE-GGA CrIr2Ru, relaxed; excess energy over the best structure of this formula in the dataset = 21 meV/atom
1.0
3.806 0.000 0.000
0.000 3.806 0.000
0.000 0.000 3.813
Cr Ir Ru
1 2 1
Direct
0.000 0.000 0.000
0.000 0.500 0.500
0.500 0.000 0.500
0.500 0.500 0.000

---

# 4
Cr2IrRu: relaxed, PBE-GGA.

The structure in POSCAR format:
```
Cr2IrRu
1.0
0.000 2.991 2.991
2.991 0.000 2.991
2.991 2.991 0.000
Cr Ir Ru
2 1 1
Direct
0.000 0.000 0.000
0.250 0.250 0.250
0.500 0.500 0.500
0.750 0.750 0.750
```

---

Number 1: energy -0.6811 Ry per atom. Number 2: energy -0.6550 Ry per atom. Number 3: energy -0.6846 Ry per atom. Number 4: energy -0.6649 Ry per atom.